Entry 1:
Sb2TeAu | Alexandria | PBE | relaxed; raw formation energy = 41 meV/atom
1.0
-0.8318 3.7111 -2.0150
-3.9649 0.0107 1.6565
1.9649 2.9835 4.6837
Au Sb Te
1 2 1
Direct
0.5000 0.5000 0.6250 Au
0.0000 0.0000 0.1251 Sb
0.5000 0.5000 0.1248 Sb
0.0000 0.0000 0.6251 Te


Entry 2:
Tm2TcNi | Alexandria | PBE | relaxed; E = -25.98 eV per cell
1.0
3.3918 0.0000 0.0000
0.0000 3.3918 0.0000
0.0000 0.0000 6.5980
Ni Tm Tc
1 2 1
Direct
0.5000 0.5000 0.5000 Ni
0.0000 0.0000 0.7489 Tm
0.0000 0.0000 0.2511 Tm
0.5000 0.5000 0.0000 Tc


Entry 3:
TeOsSe2 | Alexandria | PBE | relaxed; raw formation energy = 119 meV/atom
1.0
-1.7079 -3.3653 0.9776
4.0791 -1.3274 2.5569
-3.7768 2.6499 2.5241
Os Se Te
1 2 1
Direct
0.5000 0.7460 0.8670 Os
0.0000 0.9184 0.2118 Se
0.5000 0.2830 0.9410 Se
0.0000 0.5526 0.4801 Te


Entry 4:
NaSr2Ni2 | Alexandria | PBE | relaxed; E = -31.50 eV per cell
1.0
7.9460 0.0000 0.0000
0.0000 7.9460 0.0000
0.0000 0.0000 4.2550
Sr Na Ni
4 2 4
Direct
0.1725 0.6725 0.5000 Sr
0.6725 0.8275 0.5000 Sr
0.8275 0.3275 0.5000 Sr
0.3275 0.1725 0.5000 Sr
0.0000 0.0000 0.0000 Na
0.5000 0.5000 0.0000 Na
0.3967 0.8967 0.0000 Ni
0.8967 0.6033 0.0000 Ni
0.6033 0.1033 0.0000 Ni
0.1033 0.3967 0.0000 Ni


Entry 5:
MnBe2Zn | Alexandria | PBE | relaxed; E = -17.59 eV per cell
1.0
-2.8392 2.5715 -2.2340
-1.5834 1.3119 -3.9289
-3.3264 -2.1856 -0.8403
Be Zn Mn
2 1 1
Direct
0.0158 0.0158 0.0348 Be
0.7347 0.7347 0.7094 Be
0.2637 0.2637 0.1963 Zn
0.4858 0.4858 0.5595 Mn


Entry 6:
Ca2OsPb | Alexandria | PBE | relaxed; E = -18.29 eV per cell
1.0
-2.4298 2.1294 0.5898
-0.6816 -1.5580 2.8170
5.1884 3.9085 7.2633
Pb Ca Os
1 2 1
Direct
0.5000 0.7500 0.7500 Pb
0.0000 0.9515 0.0479 Ca
0.0000 0.5485 0.4521 Ca
0.5000 0.2500 0.2500 Os


Entry 7:
KMo2Ru | Alexandria | PBE | relaxed; E = -28.81 eV per cell
1.0
2.8121 0.0000 0.0000
0.0000 3.7769 0.0000
0.0000 0.0000 8.3439
K Mo Ru
1 2 1
Direct
0.5000 0.5000 0.7351 K
0.0000 0.0000 0.0911 Mo
0.5000 0.5000 0.2715 Mo
0.0000 0.0000 0.4023 Ru


Entry 8:
Ac8Cd2Co3 | Alexandria | PBE | relaxed; E = -56.52 eV per cell
1.0
-2.8410 0.1972 6.6250
-0.9388 -8.2943 -0.1557
9.1070 3.1562 0.7818
Ac Cd Co
8 2 3
Direct
0.7738 0.3954 0.7909 Ac
0.2262 0.6046 0.2091 Ac
0.7589 0.9022 0.8044 Ac
0.2411 0.0978 0.1956 Ac
0.7459 0.3410 0.1886 Ac
0.7459 0.8476 0.1886 Ac
0.2541 0.1524 0.8114 Ac
0.2541 0.6590 0.8114 Ac
0.9840 0.7503 0.5007 Cd
0.0160 0.2497 0.4993 Cd
0.5000 0.0000 0.0000 Co
0.0000 0.7413 0.0000 Co
0.0000 0.2587 0.0000 Co


Entry 9:
Li2AlIr | Alexandria | PBE | relaxed; E = -16.60 eV per cell
1.0
2.6556 0.0000 0.0000
0.0000 2.6556 0.0000
0.0000 0.0000 8.4903
Al Ir Li
1 1 2
Direct
0.5000 0.5000 0.2500 Al
0.5000 0.5000 0.7500 Ir
0.0000 0.0000 0.9781 Li
0.0000 0.0000 0.5219 Li


Entry 10:
Tb19Dy4Ho6 | Alexandria | PBE | relaxed; E = -122.65 eV per cell
1.0
10.1318 0.0000 -3.5821
-5.0659 8.7744 -3.5821
0.0000 0.0000 10.7464
Tb Dy Ho
19 4 6
Direct
0.7395 0.0000 0.7395 Tb
0.2605 0.0000 0.2605 Tb
0.2605 0.2605 0.0000 Tb
0.7395 0.7395 0.0000 Tb
0.0000 0.7395 0.7395 Tb
0.0000 0.2605 0.2605 Tb
0.0000 0.0000 0.0000 Tb
0.2000 0.2166 0.5412 Tb
0.8000 0.3413 0.0166 Tb
0.6753 0.6587 0.4588 Tb
0.0166 0.8000 0.3413 Tb
0.3247 0.7834 0.9834 Tb
0.5412 0.2000 0.2166 Tb
0.9834 0.3247 0.7834 Tb
0.4588 0.6753 0.6587 Tb
0.7834 0.9834 0.3247 Tb
0.3413 0.0166 0.8000 Tb
0.2166 0.5412 0.2000 Tb
0.6587 0.4588 0.6753 Tb
0.0000 0.0000 0.6411 Dy
0.0000 0.6411 0.0000 Dy
0.3589 0.3589 0.3589 Dy
0.6411 0.0000 0.0000 Dy
0.3739 0.5000 0.8739 Ho
0.6261 0.5000 0.1261 Ho
0.1261 0.6261 0.5000 Ho
0.8739 0.3739 0.5000 Ho
0.5000 0.8739 0.3739 Ho
0.5000 0.1261 0.6261 Ho


Entry 11:
PaCu4Ge | Alexandria | PBE | relaxed; E = -30.38 eV per cell
1.0
5.0939 0.0000 0.0000
2.5470 4.4114 0.0000
2.5470 1.4705 4.1592
Ge Pa Cu
1 1 4
Direct
0.2500 0.2500 0.2500 Ge
0.0000 0.0000 0.0000 Pa
0.6250 0.6250 0.1249 Cu
0.6250 0.1249 0.6250 Cu
0.6250 0.6250 0.6250 Cu
0.1249 0.6250 0.6250 Cu


Entry 12:
LaPmCd4 | Alexandria | PBE | relaxed; E = -15.26 eV per cell
1.0
6.0292 0.0000 0.0000
3.0146 5.2214 0.0000
3.0146 1.7405 4.9228
Cd La Pm
4 1 1
Direct
0.6248 0.6248 0.1257 Cd
0.6248 0.1257 0.6248 Cd
0.6248 0.6248 0.6248 Cd
0.1257 0.6248 0.6248 Cd
0.0000 0.0000 0.0000 La
0.2500 0.2500 0.2500 Pm


Entry 13:
Dy6CdSe3S2 | Alexandria | PBE | relaxed; raw formation energy = -1538 meV/atom
1.0
-0.8433 -0.8297 -3.7866
6.8547 -4.7270 -0.4908
-5.8664 -5.2549 4.5359
Dy Cd Se S
6 1 3 2
Direct
0.3297 0.8999 0.6594 Dy
0.6701 0.5721 0.3403 Dy
0.6703 0.1001 0.3406 Dy
0.0059 0.2630 0.0117 Dy
0.9941 0.7370 0.9883 Dy
0.3299 0.4279 0.6597 Dy
0.5000 0.0000 0.0000 Cd
0.5000 0.5000 0.0000 Se
0.8346 0.1692 0.6692 Se
0.1654 0.8308 0.3308 Se
0.8302 0.6617 0.6604 S
0.1698 0.3383 0.3396 S


Entry 14:
Sm3Cu2Ni4 | Alexandria | PBE | relaxed; E = -48.28 eV per cell
1.0
-3.6476 1.5337 -1.2576
1.5824 -4.1654 -2.8155
-3.7413 -3.8409 6.1674
Sm Cu Ni
3 2 4
Direct
0.3788 0.7576 0.6253 Sm
0.0000 0.0000 0.0000 Sm
0.6212 0.2424 0.3747 Sm
0.3133 0.6266 0.2254 Cu
0.6867 0.3734 0.7746 Cu
0.7341 0.4682 0.0817 Ni
0.0867 0.1734 0.6337 Ni
0.9133 0.8266 0.3663 Ni
0.2659 0.5318 0.9183 Ni